[1]
NpUGe2: relaxed, PBE-GGA.

Cell: 4.0300 4.5825 4.5825 Å, 90.00 90.00 90.00°
Site moments in Bohr magnetons follow the coordinates.
Fractional coordinates of all 4 atoms:
U1 0.5000 0.5000 0.5000  2.37
Ge1 0.0000 0.0000 0.5000  -0.07
Ge2 0.0000 0.5000 0.0000  -0.07
Np1 0.5000 0.0000 0.0000  3.94

Output
* SG: No. 123
* distance to the lowest polymorph of the same formula: 0.124 eV per atom
* total moment: 6.7 μB per formula unit
* E: -33.957 eV for the cell shown
* ΔH_f (0 K): -123 meV per atom



[2]
CuNiRh2: relaxed, PBE-GGA.

Cell: 4.5139 4.5139 4.5139 Å, 130.59 130.59 72.47°
Site moments in Bohr magnetons follow the coordinates.
Fractional coordinates of all 4 atoms:
Rh1 0.0000 0.0000 0.0000  0.26
Rh2 0.5000 0.5000 0.0000  0.26
Cu1 0.2500 0.7500 0.5000  0.04
Ni1 0.7500 0.2500 0.5000  0.37

Output
* SG: No. 139
* total moment: 0.9 μB per formula unit
* E: -24.227 eV for the cell shown
* ΔH_f (0 K): 88 meV per atom



[3]
Al2InSb: relaxed, PBE-GGA.

Cell: 3.1104 3.1104 9.6342 Å, 90.00 90.00 101.64°
Fractional coordinates of all 4 atoms:
Sb1 0.5000 0.5000 0.7500
Al1 0.0000 0.0000 0.0003
Al2 0.0000 0.0000 0.4997
In1 0.5000 0.5000 0.2500

Output
* SG: No. 65
* distance to the lowest polymorph of the same formula: 0.121 eV per atom
* total moment: 0.0 μB per formula unit
* E: -13.450 eV for the cell shown
* raw formation energy: 0.22 eV per atom



[4]
SbOsBr2: relaxed, PBE-GGA.

Cell: 12.9245 12.9245 12.9245 Å, 13.70 13.70 13.70°
Fractional coordinates of all 4 atoms:
Br1 0.0615 0.0615 0.0615
Br2 0.9385 0.9385 0.9385
Os1 0.0000 0.0000 0.0000
Sb1 0.5000 0.5000 0.5000

Output
* SG: No. 166
* distance to the lowest polymorph of the same formula: 0.370 eV per atom
* total moment: 0.0 μB per formula unit
* E: -16.100 eV for the cell shown
* raw formation energy: 0.65 eV per atom



[5]
CuIrSe2: relaxed, PBE-GGA.

Cell: 6.2894 6.2894 6.2894 Å, 150.53 144.38 46.89°
Fractional coordinates of all 4 atoms:
Ir1 0.2226 0.7226 0.5000
Cu1 0.4356 0.4356 0.0000
Se1 0.0519 0.0519 0.0000
Se2 0.7899 0.2899 0.5000

Output
* SG: No. 44
* total moment: 0.0 μB per formula unit
* E: -18.834 eV for the cell shown
* raw formation energy: 0.27 eV per atom



[6]
Na2Ga5Ag5: relaxed, PBE-GGA.

Cell: 4.5447 5.4839 9.6062 Å, 90.00 90.00 90.00°
Fractional coordinates of all 12 atoms:
Ag1 0.0000 0.5000 0.3334
Ag2 0.5000 0.0000 0.0000
Ag3 0.0000 0.0000 0.1834
Ag4 0.0000 0.0000 0.8166
Ag5 0.0000 0.5000 0.6666
Ga1 0.5000 0.2522 0.2487
Ga2 0.5000 0.7478 0.2487
Ga3 0.5000 0.7478 0.7513
Ga4 0.5000 0.2522 0.7513
Ga5 0.5000 0.5000 0.5000
Na1 0.0000 0.0000 0.5000
Na2 0.0000 0.5000 0.0000

Output
* SG: No. 47
* total moment: 0.0 μB per formula unit
* E: -32.699 eV for the cell shown
* ΔH_f (0 K): -56 meV per atom



[7]
Zr2SiSb: relaxed, PBE-GGA.

Cell: 7.0950 7.0950 7.0950 Å, 32.02 32.02 32.02°
Fractional coordinates of all 4 atoms:
Sb1 0.2500 0.2500 0.2500
Si1 0.7500 0.7500 0.7500
Zr1 0.0107 0.0107 0.0107
Zr2 0.4893 0.4893 0.4893

Output
* SG: No. 166
* distance to the lowest polymorph of the same formula: 0.000 eV per atom
* total moment: 0.0 μB per formula unit
* E: -29.334 eV for the cell shown
* raw formation energy: -0.67 eV per atom



[8]
KCaRe2Cl: relaxed, PBE-GGA.

Cell: 4.8873 5.5364 4.8873 Å, 90.00 90.00 90.00°
Site moments in Bohr magnetons follow the coordinates.
Fractional coordinates of all 5 atoms:
Ca1 0.5000 0.5000 0.5000  -0.01
Cl1 0.0000 0.5000 0.0000  0.08
K1 0.0000 0.0000 0.0000  0.06
Re1 0.0000 0.0000 0.5000  1.72
Re2 0.5000 0.0000 0.0000  2.27

Output
* SG: No. 123
* distance to the lowest polymorph of the same formula: 1.092 eV per atom
* total moment: 4.8 μB per formula unit
* E: -18.143 eV for the cell shown
* raw formation energy: 2.34 eV per atom



[9]
MgRh5: relaxed, PBE-GGA.

Cell: 5.1342 5.1342 6.6034 Å, 75.87 75.87 31.06°
Fractional coordinates of all 6 atoms:
Rh1 0.6686 0.6686 0.6648
Rh2 0.9438 0.9438 0.6095
Rh3 0.6153 0.6153 0.2805
Rh4 0.3369 0.3369 0.3315
Rh5 0.2714 0.2714 0.9483
Mg1 0.9973 0.9973 0.9987

Output
* SG: No. 8
* total moment: 0.0 μB per formula unit
* E: -39.153 eV for the cell shown
* ΔH_f (0 K): -134 meV per atom



[10]
AcLa2AlN: relaxed, PBE-GGA.

Cell: 5.2925 5.1072 5.1072 Å, 90.00 90.00 90.00°
Fractional coordinates of all 5 atoms:
La1 0.0000 0.5000 0.0000
La2 0.0000 0.0000 0.5000
Ac1 0.5000 0.0000 0.0000
N1 0.0000 0.0000 0.0000
Al1 0.5000 0.5000 0.5000

Output
* SG: No. 123
* total moment: 0.0 μB per formula unit
* E: -29.493 eV for the cell shown
* raw formation energy: -0.69 eV per atom



[11]
Ac2Nd4Tm3: relaxed, PBE-GGA.

Cell: 5.2211 6.4117 11.0270 Å, 73.17 89.99 65.98°
Fractional coordinates of all 9 atoms:
Tm1 0.6626 0.6748 0.5537
Tm2 0.3374 0.3252 0.4463
Tm3 0.0000 0.0000 0.0000
Ac1 0.3332 0.3336 0.7744
Ac2 0.6668 0.6664 0.2256
Nd1 0.0019 0.9963 0.3377
Nd2 0.3342 0.3317 0.1125
Nd3 0.9981 0.0037 0.6623
Nd4 0.6658 0.6683 0.8875

Output
* SG: No. 12
* total moment: 0.0 μB per formula unit
* E: -40.254 eV for the cell shown
* ΔH_f (0 K): 50 meV per atom



[12]
UTaOs: relaxed, PBE-GGA.

Cell: 4.6230 4.6230 5.8759 Å, 90.00 90.00 120.03°
Fractional coordinates of all 6 atoms:
Ta1 0.3333 0.6667 0.7500
Ta2 0.6667 0.3333 0.2500
U1 0.3335 0.6665 0.2500
U2 0.6665 0.3335 0.7500
Os1 0.0000 0.0000 0.5000
Os2 0.0000 0.0000 0.0000

Output
* SG: No. 194
* total moment: 0.0 μB per formula unit
* E: -66.462 eV for the cell shown
* ΔH_f (0 K): 380 meV per atom



[13]
AlPS3: relaxed, PBE-GGA.

Cell: 3.2857 8.8178 11.2087 Å, 121.30 90.00 100.74°
Fractional coordinates of all 10 atoms:
S1 0.9239 0.8478 0.2659
S2 0.2008 0.4017 0.0847
S3 0.6194 0.2387 0.3916
S4 0.0761 0.1522 0.7341
S5 0.7992 0.5983 0.9153
S6 0.3806 0.7613 0.6084
P1 0.9578 0.9157 0.7523
P2 0.0422 0.0843 0.2477
Al1 0.3343 0.6685 0.0860
Al2 0.6657 0.3315 0.9140

Output
* SG: No. 12
* distance to the lowest polymorph of the same formula: 0.000 eV per atom
* total moment: 0.0 μB per formula unit
* E: -48.338 eV for the cell shown
* raw formation energy: -0.53 eV per atom



[14]
Rb3Mn2I2Cl5: relaxed, PBE-GGA.

Cell: 5.1772 5.1772 14.6049 Å, 100.21 100.21 90.00°
Site moments in Bohr magnetons follow the coordinates.
Fractional coordinates of all 12 atoms:
Rb1 0.8297 0.8297 0.6595  0.00
Rb2 0.0000 0.0000 0.0000  0.00
Rb3 0.1703 0.1703 0.3405  0.00
I1 0.3081 0.3081 0.6161  0.04
I2 0.6919 0.6919 0.3839  0.04
Cl1 0.0878 0.5878 0.1756  0.06
Cl2 0.5000 0.5000 0.0000  0.06
Cl3 0.5878 0.0878 0.1756  0.06
Cl4 0.9122 0.4122 0.8244  0.06
Cl5 0.4122 0.9122 0.8244  0.06
Mn1 0.4098 0.4098 0.8195  4.45
Mn2 0.5902 0.5902 0.1805  4.45

Output
* SG: No. 139
* total moment: 10.0 μB per formula unit
* E: -50.121 eV for the cell shown
* raw formation energy: -1.38 eV per atom



[15]
ErCo4Mo: relaxed, PBE-GGA.

Cell: 4.8362 4.8362 4.8362 Å, 60.00 60.00 60.00°
Site moments in Bohr magnetons follow the coordinates.
Fractional coordinates of all 6 atoms:
Co1 0.6255 0.6255 0.1236  0.31
Co2 0.1236 0.6255 0.6255  0.31
Co3 0.6255 0.1236 0.6255  0.31
Co4 0.6255 0.6255 0.6255  0.31
Er1 0.0000 0.0000 0.0000  -0.07
Mo1 0.2500 0.2500 0.2500  -0.11

Output
* SG: No. 216
* total moment: 1.1 μB per formula unit
* E: -43.632 eV for the cell shown
* ΔH_f (0 K): 31 meV per atom



[16]
Sm5GaHg2: relaxed, PBE-GGA.

Cell: 5.2202 6.7571 12.8591 Å, 90.00 90.00 90.00°
Fractional coordinates of all 16 atoms:
Sm1 0.5000 0.6473 0.8967
Sm2 0.0000 0.8417 0.7178
Sm3 0.0000 0.1583 0.2822
Sm4 0.0000 0.0000 0.0000
Sm5 0.5000 0.1473 0.6033
Sm6 0.0000 0.3417 0.7822
Sm7 0.5000 0.3527 0.1033
Sm8 0.0000 0.6583 0.2178
Sm9 0.0000 0.5000 0.5000
Sm10 0.5000 0.8527 0.3967
Hg1 0.5000 0.8947 0.1460
Hg2 0.5000 0.1053 0.8540
Hg3 0.5000 0.3947 0.3540
Hg4 0.5000 0.6053 0.6460
Ga1 0.0000 0.5000 0.0000
Ga2 0.0000 0.0000 0.5000

Output
* SG: No. 55
* distance to the lowest polymorph of the same formula: 0.000 eV per atom
* total moment: 0.0 μB per formula unit
* E: -60.428 eV for the cell shown
* ΔH_f (0 K): -373 meV per atom



[17]
Nb4CrRu5: relaxed, PBE-GGA.

Cell: 4.2062 5.4435 8.4503 Å, 122.31 104.41 90.00°
Site moments in Bohr magnetons follow the coordinates.
Fractional coordinates of all 10 atoms:
Cr1 0.5000 0.0000 0.0000  1.49
Nb1 0.2921 0.7157 0.5843  -0.12
Nb2 0.1037 0.8365 0.2074  -0.03
Nb3 0.7079 0.2843 0.4157  -0.12
Nb4 0.8963 0.1635 0.7926  -0.03
Ru1 0.6966 0.7636 0.3932  0.01
Ru2 0.3034 0.2364 0.6068  0.01
Ru3 0.5000 0.5000 0.0000  -0.03
Ru4 0.9168 0.6864 0.8336  -0.07
Ru5 0.0832 0.3136 0.1664  -0.07

Output
* SG: No. 12
* total moment: 1.1 μB per formula unit
* E: -97.228 eV for the cell shown
* ΔH_f (0 K): -95 meV per atom



[18]
PSe2I: relaxed, PBE-GGA.

Cell: 8.5611 8.5611 8.5611 Å, 26.77 26.77 26.77°
Fractional coordinates of all 4 atoms:
I1 0.0000 0.0000 0.0000
Se1 0.1119 0.1119 0.1119
Se2 0.8881 0.8881 0.8881
P1 0.5000 0.5000 0.5000

Output
* SG: No. 166
* distance to the lowest polymorph of the same formula: 0.127 eV per atom
* total moment: 0.0 μB per formula unit
* E: -13.154 eV for the cell shown
* raw formation energy: 0.19 eV per atom



[19]
RbPOsCl2: relaxed, PBE-GGA.

Cell: 6.1355 6.1355 6.2607 Å, 90.00 90.00 90.00°
Site moments in Bohr magnetons follow the coordinates.
Fractional coordinates of all 5 atoms:
Os1 0.5000 0.5000 0.5000  3.82
P1 0.0000 0.0000 0.5000  1.19
Rb1 0.0000 0.0000 0.0000  0.04
Cl1 0.0000 0.5000 0.0000  0.21
Cl2 0.5000 0.0000 0.0000  0.21

Output
* SG: No. 123
* distance to the lowest polymorph of the same formula: 1.983 eV per atom
* total moment: 8.1 μB per formula unit
* E: -12.980 eV for the cell shown
* raw formation energy: 1.66 eV per atom



[20]
K4Pu3BeS8: relaxed, PBE-GGA.

Cell: 7.9209 8.6330 8.1190 Å, 117.65 119.20 90.00°
Site moments in Bohr magnetons follow the coordinates.
Fractional coordinates of all 16 atoms:
Pu1 0.5000 0.5000 0.5000  -4.82
Pu2 0.5000 0.5000 0.0000  4.86
Pu3 0.0000 0.5000 0.5000  -4.82
S1 0.7333 0.7039 0.4666  0.04
S2 0.7635 0.6763 0.9654  -0.01
S3 0.2500 0.7124 0.5000  0.11
S4 0.7500 0.2876 0.5000  0.11
S5 0.2019 0.6763 0.9654  -0.01
S6 0.2667 0.2961 0.5334  0.04
S7 0.2365 0.3237 0.0346  -0.01
S8 0.7981 0.3237 0.0346  -0.01
Be1 0.0000 0.5000 0.0000  0.00
K1 0.0000 0.0000 0.5000  0.00
K2 0.5000 0.0000 0.0000  0.00
K3 0.0000 0.0000 0.0000  0.00
K4 0.5000 0.0000 0.5000  0.00

Output
* SG: No. 12
* total moment: 4.6 μB per formula unit
* E: -104.857 eV for the cell shown
* raw formation energy: -1.30 eV per atom



[21]
NaCaAgF2: relaxed, PBE-GGA.

Cell: 4.3973 6.3800 4.3973 Å, 90.00 90.00 90.00°
Fractional coordinates of all 5 atoms:
Ag1 0.0000 0.5000 0.0000
F1 0.0000 0.0000 0.5000
F2 0.5000 0.0000 0.0000
Na1 0.5000 0.5000 0.5000
Ca1 0.0000 0.0000 0.0000

Output
* SG: No. 123
* total moment: 0.0 μB per formula unit
* E: -20.008 eV for the cell shown
* raw formation energy: -2.02 eV per atom



[22]
CsGe2Pt2: relaxed, PBE-GGA.

Cell: 8.6678 8.6678 3.1771 Å, 90.00 90.00 90.00°
Fractional coordinates of all 10 atoms:
Pt1 0.1199 0.3801 0.0000
Pt2 0.8801 0.6199 0.0000
Pt3 0.6199 0.1199 0.0000
Pt4 0.3801 0.8801 0.0000
Ge1 0.3778 0.1222 0.5000
Ge2 0.6222 0.8778 0.5000
Ge3 0.1222 0.6222 0.5000
Ge4 0.8778 0.3778 0.5000
Cs1 0.0000 0.0000 0.0000
Cs2 0.5000 0.5000 0.0000

Output
* SG: No. 127
* distance to the lowest polymorph of the same formula: 0.459 eV per atom
* total moment: 0.0 μB per formula unit
* E: -44.577 eV for the cell shown
* ΔH_f (0 K): -24 meV per atom



[23]
La2Al4Pt3Rh: relaxed, PBE-GGA.

Cell: 4.3201 4.3201 10.4231 Å, 90.00 90.00 90.00°
Fractional coordinates of all 10 atoms:
Pt1 0.5000 0.0000 0.8672
Pt2 0.0000 0.5000 0.1328
Pt3 0.0000 0.0000 0.5000
Al1 0.5000 0.5000 0.0000
Al2 0.5000 0.0000 0.6234
Al3 0.0000 0.5000 0.3766
Al4 0.0000 0.0000 0.0000
Rh1 0.5000 0.5000 0.5000
La1 0.0000 0.5000 0.7489
La2 0.5000 0.0000 0.2511

Output
* SG: No. 115
* total moment: 0.0 μB per formula unit
* E: -61.283 eV for the cell shown
* ΔH_f (0 K): -1098 meV per atom



[24]
InGa5: relaxed, PBE-GGA.

Cell: 3.1565 3.1565 12.1758 Å, 90.00 90.00 90.00°
Fractional coordinates of all 6 atoms:
Ga1 0.5000 0.5000 0.8424
Ga2 0.0000 0.0000 0.0000
Ga3 0.5000 0.5000 0.1576
Ga4 0.0000 0.0000 0.3121
Ga5 0.0000 0.0000 0.6879
In1 0.5000 0.5000 0.5000

Output
* SG: No. 123
* distance to the lowest polymorph of the same formula: 0.002 eV per atom
* total moment: 0.0 μB per formula unit
* E: -17.707 eV for the cell shown
* ΔH_f (0 K): 28 meV per atom



[25]
PuThTl2: relaxed, PBE-GGA.

Cell: 3.4461 3.4461 9.4946 Å, 90.00 90.00 90.00°
Site moments in Bohr magnetons follow the coordinates.
Fractional coordinates of all 4 atoms:
Pu1 0.5000 0.5000 0.0000  5.61
Tl1 0.0000 0.0000 0.7553  0.00
Tl2 0.0000 0.0000 0.2447  0.00
Th1 0.5000 0.5000 0.5000  -0.02

Output
* SG: No. 123
* total moment: 6.0 μB per formula unit
* E: -26.791 eV for the cell shown
* ΔH_f (0 K): -77 meV per atom